A relaxed CsRbGa2Cl8 crystal. Source: Alexandria, functional PBE.

Unit cell a=10.793 b=10.793 c=10.793 alpha=37.95 beta=37.95 gamma=37.95
Fractional positions:
Cs  0.000  0.000  0.000
Rb  0.500  0.500  0.500
Ga  0.256  0.256  0.256
Ga  0.744  0.744  0.744
Cl  0.027  0.833  0.444
Cl  0.167  0.556  0.973
Cl  0.329  0.329  0.329
Cl  0.444  0.027  0.833
Cl  0.556  0.973  0.167
Cl  0.671  0.671  0.671
Cl  0.833  0.444  0.027
Cl  0.973  0.167  0.556

Summary:
space group = R-3, No. 148
formation energy (no corrections) = -1.5199 eV per atom
DFT total energy = -3.41 eV per atom
density of states at the Fermi level = 0.00 states/eV per atom